A plane-wave DFT calculation with PBE was carried out for a relaxed structure of Ho8InRh2.

Properties
DOS(E_F), states/eV per cell: 12.46
ΔE_f, eV per atom: -0.39
Symmetry: C2/m (12)

Unit cell a=5.4078 b=7.9240 c=7.9240 alpha=113.76 beta=97.73 gamma=97.73
Closest atoms and distances in Å follow each position.
Positions (direct):
Ho (0.9261, 0.9267, 0.6707)  2 Rh 2.85-2.90
Ho (0.9261, 0.6707, 0.9267)  2 Rh 2.85-2.90
Ho (0.3048, 0.6113, 0.6113)  2 Rh 3.08, 4 Ho 3.19-3.38, 1 In 3.27
Ho (0.5000, 0.7531, 0.2469)  2 Rh 2.81
Ho (0.5000, 0.2469, 0.7531)  2 Rh 2.81
Ho (0.6952, 0.3887, 0.3887)  2 Rh 3.08, 4 Ho 3.19-3.38, 1 In 3.27
Ho (0.0739, 0.3293, 0.0733)  2 Rh 2.85-2.90
Ho (0.0739, 0.0733, 0.3293)  2 Rh 2.85-2.90
In (0.5000, 0.0000, 0.0000)  12 Ho 3.27-3.63
Rh (0.0000, 0.3058, 0.6942)  8 Ho 2.81-3.08
Rh (0.0000, 0.6942, 0.3058)  8 Ho 2.81-3.08